[1]
# YHo5Er2Tm

YHo5Er2Tm after structural relaxation (PBE-GGA, the Alexandria database).

a = 10.2417 Å, b = 10.2417 Å, c = 10.4850 Å
α = 90.00°, β = 90.00°, γ = 148.55°
With the nearest neighbours (Å) after each atom.
Sites, in units of the cell vectors:
Y 0.0877 0.9123 0.5000  5 Ho 3.02-3.25
Y 0.9123 0.0877 0.0000  5 Ho 3.02-3.25
Ho 0.0208 0.9792 0.7829  2 Y 3.12-3.25, 2 Er 3.41, 2 Ho 3.46-3.48
Ho 0.1120 0.8880 0.0667  6 Ho 3.46-3.78, 4 Er 3.52-3.57, 1 Tm 3.72
Ho 0.2001 0.7999 0.7530  4 Ho 3.37-3.72, 3 Er 3.45-3.75, 1 Y 3.46, 3 Tm 3.46-3.74
Ho 0.2195 0.7805 0.3534  1 Y 3.02, 1 Er 3.31, 2 Ho 3.37
Ho 0.4821 0.5179 0.0668  2 Y 3.18, 3 Er 3.37-3.50
Ho 0.5179 0.4821 0.5668  2 Y 3.18, 3 Er 3.37-3.50
Ho 0.7805 0.2195 0.8534  1 Y 3.02, 1 Er 3.31, 2 Ho 3.37
Ho 0.7999 0.2001 0.2530  4 Ho 3.37-3.72, 3 Er 3.45-3.75, 1 Y 3.46, 3 Tm 3.46-3.74
Ho 0.8880 0.1120 0.5667  6 Ho 3.46-3.78, 4 Er 3.52-3.57, 1 Tm 3.72
Ho 0.9792 0.0208 0.2829  2 Y 3.12-3.25, 2 Er 3.41, 2 Ho 3.46-3.48
Er 0.3871 0.6129 0.3598  9 Ho 3.31-3.60, 1 Tm 3.62
Er 0.3896 0.6104 0.7814  1 Tm 3.37, 7 Ho 3.38-3.75, 2 Y 3.63
Er 0.6104 0.3896 0.2814  1 Tm 3.37, 7 Ho 3.38-3.75, 2 Y 3.63
Er 0.6129 0.3871 0.8598  9 Ho 3.31-3.60, 1 Tm 3.62
Tm 0.3006 0.6994 0.0555  2 Er 3.37-3.62, 8 Ho 3.46-3.74, 2 Y 3.59
Tm 0.6994 0.3006 0.5555  2 Er 3.37-3.62, 8 Ho 3.46-3.74, 2 Y 3.59

## Properties
The formation energy is 164 meV/atom.

***

[2]
# Y6Ho2Er3Tm

Y6Ho2Er3Tm after structural relaxation (PBE-GGA, the Alexandria database).

a = 6.1286 Å, b = 6.1286 Å, c = 11.7407 Å
α = 94.98°, β = 94.98°, γ = 119.94°
With the nearest neighbours (Å) after each atom.
Sites, in units of the cell vectors:
Y 0.0834 0.4166 0.7500  6 Y 3.54, 3 Er 3.54, 2 Ho 3.54, 1 Tm 3.54
Y 0.2503 0.2503 0.2502  3 Er 3.54, 6 Y 3.54, 1 Tm 3.54, 2 Ho 3.54
Y 0.4166 0.0834 0.7500  6 Y 3.54, 3 Er 3.54, 2 Ho 3.54, 1 Tm 3.54
Y 0.5834 0.9166 0.2500  6 Y 3.54, 3 Er 3.54, 2 Ho 3.54, 1 Tm 3.54
Y 0.7497 0.7497 0.7498  3 Er 3.54, 6 Y 3.54, 1 Tm 3.54, 2 Ho 3.54
Y 0.9166 0.5834 0.2500  6 Y 3.54, 3 Er 3.54, 2 Ho 3.54, 1 Tm 3.54
Ho 0.1666 0.8334 0.0000  3 Ho 3.54, 3 Tm 3.54, 6 Y 3.54
Ho 0.8334 0.1666 0.0000  3 Ho 3.54, 3 Tm 3.54, 6 Y 3.54
Er 0.0000 0.0000 0.5000  6 Er 3.54, 6 Y 3.54
Er 0.3334 0.6666 0.5000  6 Er 3.54, 6 Y 3.54
Er 0.6666 0.3334 0.5000  6 Er 3.54, 6 Y 3.54
Tm 0.5000 0.5000 0.0000  6 Ho 3.54, 6 Y 3.54

## Properties
The formation energy is 26 meV/atom.

***

[3]
# YHoEr3Tm

YHoEr3Tm after structural relaxation (PBE-GGA, the Alexandria database).

a = 11.2593 Å, b = 11.2593 Å, c = 6.7471 Å
α = 97.91°, β = 97.91°, γ = 27.47°
With the nearest neighbours (Å) after each atom.
Sites, in units of the cell vectors:
Y 0.1311 0.1311 0.4685  1 Ho 3.18, 4 Er 3.28-3.40, 2 Tm 3.54
Y 0.8689 0.8689 0.5315  1 Ho 3.18, 4 Er 3.28-3.40, 2 Tm 3.54
Ho 0.1668 0.1668 0.0280  1 Y 3.18, 6 Er 3.19-3.51, 2 Tm 3.54
Ho 0.8332 0.8332 0.9720  1 Y 3.18, 6 Er 3.19-3.51, 2 Tm 3.54
Er 0.0250 0.0250 0.7758  1 Ho 3.32, 2 Y 3.32-3.58, 1 Er 3.36, 2 Tm 3.50
Er 0.2747 0.2747 0.6893  3 Y 3.28-3.63, 1 Tm 3.36, 3 Ho 3.43-3.51, 4 Er 3.51-3.67
Er 0.3309 0.3309 0.2276  2 Ho 3.19, 2 Y 3.40, 1 Er 3.51, 1 Tm 3.54
Er 0.6691 0.6691 0.7724  2 Ho 3.19, 2 Y 3.40, 1 Er 3.51, 1 Tm 3.54
Er 0.7253 0.7253 0.3107  3 Y 3.28-3.63, 1 Tm 3.36, 3 Ho 3.43-3.51, 4 Er 3.51-3.67
Er 0.9750 0.9750 0.2242  1 Ho 3.32, 2 Y 3.32-3.58, 1 Er 3.36, 2 Tm 3.50
Tm 0.4272 0.4272 0.8480  6 Er 3.36-3.73, 1 Tm 3.54, 2 Ho 3.54, 2 Y 3.54
Tm 0.5728 0.5728 0.1520  6 Er 3.36-3.73, 1 Tm 3.54, 2 Ho 3.54, 2 Y 3.54

## Properties
The formation energy is 216 meV/atom.

***

[4]
# Y2Ho2ErTm2

Y2Ho2ErTm2 after structural relaxation (PBE-GGA, the Alexandria database).

a = 8.7051 Å, b = 8.7051 Å, c = 8.7051 Å
α = 37.65°, β = 37.65°, γ = 37.65°
With the nearest neighbours (Å) after each atom.
Sites, in units of the cell vectors:
Y 0.1414 0.1414 0.1414  1 Er 3.43, 3 Tm 3.43, 3 Y 3.47, 1 Ho 3.51
Y 0.8586 0.8586 0.8586  1 Er 3.43, 3 Tm 3.43, 3 Y 3.47, 1 Ho 3.51
Ho 0.2860 0.2860 0.2860  3 Er 3.44, 4 Tm 3.45-3.46, 1 Y 3.51
Ho 0.7140 0.7140 0.7140  3 Er 3.44, 4 Tm 3.45-3.46, 1 Y 3.51
Er 0.0000 0.0000 0.0000  2 Y 3.43, 6 Ho 3.44
Tm 0.4287 0.4287 0.4287  3 Y 3.43, 4 Ho 3.45-3.46, 1 Tm 3.46
Tm 0.5713 0.5713 0.5713  3 Y 3.43, 4 Ho 3.45-3.46, 1 Tm 3.46

## Properties
The formation energy is 138 meV/atom.

***

| no. | total moment (μB per cell) |
| --- | --- |
| 1 | 0.0 |
| 2 | 0.0 |
| 3 | 0.0 |
| 4 | 0.1 |